## BaMnO3 (PBE+U)

Data for a relaxed structure of BaMnO3.

a = 5.7622 Å, b = 5.7622 Å, c = 14.3507 Å
α = 90.00°, β = 90.00°, γ = 120.00°
Space group P-6m2 (No. 187)
Symmetry-distinct sites (fractional):
1 Ba 0.0000 0.0000 0.0000
2 Ba 0.0000 0.0000 0.3317
3 Ba 0.3333 0.6667 0.1661
4 Ba 0.6667 0.3333 0.5000
5 Mn 0.3333 0.6667 0.4095
6 Mn 0.6667 0.3333 0.0877
7 Mn 0.6667 0.3333 0.2650
8 O 0.0012 0.5006 0.3355
9 O 0.1882 0.3765 0.5000
10 O 0.3718 0.1859 0.1739
11 O 0.5180 0.0360 0.0000

electronic total energy = -206.7 eV per cell
total moment = 3.01 μB/f.u.